Density functional theory data (PBEsol) for crystalline AlSi2HgP at its relaxed geometry.

Cell and atoms, written as POSCAR:
```
AlSi2HgP
1.0
4.928 0.000 0.000
0.000 4.928 0.000
0.000 0.000 4.981
Al Si Hg P
1 2 1 1
direct
0.000 0.000 0.000
0.000 0.500 0.500
0.500 0.000 0.500
0.500 0.500 0.500
0.500 0.500 0.000
```

Its formation energy (no corrections) is 1328 meV per atom.